[1]
PBE Te3PdRh, relaxed; polymorph energy (0 for the lowest one) = 940 meV/atom; E_form (uncorrected) = 0.55 eV/atom
1.0
5.1822 0.0000 0.0000
0.0000 5.1822 0.0000
0.0000 0.0000 5.1822
Te Rh Pd
3 1 1
Cartesian
0.0000 2.5911 0.0000 Te
0.0000 0.0000 2.5911 Te
2.5911 0.0000 0.0000 Te
0.0000 0.0000 0.0000 Rh
2.5911 2.5911 2.5911 Pd

[2]
PBE KMgTc2O8, relaxed; E_form (uncorrected) = -1.74 eV/atom
1.0
5.5129 -0.0646 -0.0292
2.4858 4.9211 -0.0292
0.3235 0.1964 7.8575
K Mg Tc O
1 1 2 8
Cartesian
0.1617 0.0982 3.9288 K
0.0000 0.0000 0.0000 Mg
5.1750 3.1421 1.6774 Tc
3.1471 1.9108 6.1217 Tc
4.7487 1.1776 6.3616 O
6.3120 3.8324 0.5329 O
5.7044 3.4635 3.3069 O
2.6177 1.5894 4.4922 O
2.0101 1.2205 7.2662 O
3.2354 3.6700 6.3616 O
5.0867 1.3829 1.4375 O
3.5734 3.8753 1.4375 O

[3]
PBE LiTm4Pt2, relaxed; energy relative to the elements = -0.8302 eV/atom
1.0
4.6484 0.0000 1.4523
2.0973 4.1483 1.4523
-0.0509 -0.0313 8.3284
Li Tm Pt
1 4 2
Cartesian
0.0000 0.0000 0.0000 Li
5.8630 3.6055 5.7297 Tm
0.8317 0.5115 5.5032 Tm
4.1854 2.5739 2.9340 Tm
2.5093 1.5431 8.2989 Tm
5.0052 3.0780 8.4754 Pt
1.6895 1.0390 2.7575 Pt

[4]
PBE NiHgGeRh2, relaxed; energy relative to the elements = 0.8919 eV/atom
1.0
4.5470 0.0000 0.0000
0.0000 4.7757 0.0000
0.0000 0.0000 4.5470
Ni Ge Rh Hg
1 1 2 1
Cartesian
0.0000 0.0000 0.0000 Ni
2.2735 2.3878 2.2735 Ge
0.0000 0.0000 2.2735 Rh
2.2735 0.0000 0.0000 Rh
0.0000 2.3878 0.0000 Hg

[5]
PBE BaLiYSn, relaxed; energy relative to the elements = -0.2994 eV/atom
1.0
5.6079 0.0000 0.0000
2.8040 4.8566 0.0000
2.8040 1.6189 4.5788
Y Li Ba Sn
1 1 1 1
Cartesian
8.4119 4.8566 3.4341 Y
5.6079 3.2377 2.2894 Li
2.8040 1.6189 1.1447 Ba
0.0000 0.0000 0.0000 Sn

[6]
PBE In4SnPbS8, relaxed; E_form (uncorrected) = -0.49 eV/atom
1.0
7.7076 0.0000 0.0000
3.8538 6.6749 0.0000
3.8538 2.2250 7.3598
In Sn Pb S
4 1 1 8
Cartesian
7.7076 4.4500 2.7735 In
11.5614 4.5448 3.5410 In
9.7166 7.7400 3.5410 In
13.4061 7.7400 3.5410 In
7.7076 4.4500 6.5579 Sn
3.8538 2.2250 6.8657 Pb
7.7076 6.6513 5.0625 S
9.6140 3.3493 5.0625 S
5.8012 3.3493 5.0625 S
3.8538 2.2250 2.3722 S
7.7076 2.1149 1.9424 S
5.6853 5.6175 1.9424 S
9.7298 5.6175 1.9424 S
11.5613 6.6749 4.9916 S

[7]
PBE Pr5Tm6, relaxed; polymorph energy (0 for the lowest one) = 0 meV/atom; energy relative to the elements = 0.1171 eV/atom
1.0
5.2272 1.0384 -1.7404
2.7774 8.1680 -4.8415
0.2356 -0.4646 9.4588
Pr Tm
5 6
Cartesian
4.0023 4.6032 -3.2909 Pr
1.9176 5.2625 -0.1291 Pr
1.0954 2.4409 4.7464 Pr
4.9843 6.7914 0.9641 Pr
3.2559 1.9504 1.9128 Pr
5.8932 7.2212 -5.0736 Tm
2.1114 1.9853 -1.5082 Tm
4.5225 1.0492 5.1745 Tm
3.0718 5.2639 3.3419 Tm
3.7177 7.6926 -2.2976 Tm
5.1683 3.4779 -0.4649 Tm

[8]
PBE Tl2CuSn, relaxed; polymorph energy (0 for the lowest one) = 0 meV/atom; energy relative to the elements = 0.3132 eV/atom
1.0
0.0000 3.7019 3.7019
3.7019 0.0000 3.7019
3.7019 3.7019 0.0000
Tl Sn Cu
2 1 1
Cartesian
1.8510 1.8510 1.8510 Tl
5.5529 5.5529 5.5529 Tl
3.7019 3.7019 3.7019 Sn
0.0000 0.0000 0.0000 Cu

[9]
PBE Nd5InSe4, relaxed; E_form (uncorrected) = -1.56 eV/atom
1.0
5.4580 0.0000 2.6326
2.7290 6.8013 1.3163
-0.2257 0.0000 7.4423
Nd In Se
5 1 4
Cartesian
5.8469 2.7680 8.8141 Nd
3.7111 5.3988 6.2680 Nd
4.2608 1.4026 5.1282 Nd
2.1250 4.0334 2.5821 Nd
2.7360 0.0000 1.3196 Nd
0.0070 0.0000 0.0034 In
3.0916 2.7343 7.5523 Se
6.4255 5.4593 7.6146 Se
1.5464 1.3421 3.7816 Se
4.8803 4.0670 3.8439 Se

[10]
PBE Al2CoTcRu, relaxed; energy relative to the elements = 0.9690 eV/atom
1.0
4.5207 0.0000 0.0000
0.0000 4.3697 0.0000
0.0000 0.0000 4.5207
Ru Co Tc Al
1 1 1 2
Cartesian
0.0000 0.0000 0.0000 Ru
0.0000 2.1849 0.0000 Co
2.2604 2.1849 2.2604 Tc
0.0000 0.0000 2.2604 Al
2.2604 0.0000 0.0000 Al

[11]
PBE PmTmGa2Au2, relaxed; energy relative to the elements = -0.7827 eV/atom
1.0
-2.8419 3.4006 0.9952
-1.6091 -3.8583 -1.7762
-0.8882 -2.6843 6.6358
Pm Tm Ga Au
1 1 2 2
Cartesian
0.0000 0.0000 0.0000 Pm
-0.4441 -1.3422 3.3179 Tm
-2.6675 0.2661 1.8384 Ga
-2.6717 -3.4082 4.0164 Ga
-3.0756 -0.9673 4.8874 Au
-2.2636 -2.1748 0.9674 Au

[12]
PBE SnGeAsHIr, relaxed; polymorph energy (0 for the lowest one) = 94 meV/atom
1.0
-0.8610 -1.5185 5.2686
2.8658 -1.5207 0.0300
2.6556 4.9860 -0.9303
Sn Ge As H Ir
1 1 1 1 1
Cartesian
3.2438 2.6489 -0.1510 Sn
1.0967 -1.3274 3.3865 Ge
1.9870 0.3061 1.1470 As
1.3599 2.6166 2.7284 H
0.6000 1.1902 3.0148 Ir

| no. | volume (A^3/atom) |
| --- | --- |
| 1 | 27.835 |
| 2 | 17.874 |
| 3 | 23.003 |
| 4 | 19.747 |
| 5 | 31.177 |
| 6 | 27.046 |
| 7 | 33.566 |
| 8 | 25.366 |
| 9 | 28.031 |
| 10 | 17.861 |
| 11 | 21.479 |
| 12 | 18.260 |